# 1
## Hf2HOsPd (GGA-PBE)

Data for a relaxed structure of Hf2HOsPd.

```
Hf2HOsPd
1.0
4.537 0.000 0.000
0.000 4.537 0.000
0.000 0.000 3.567
Hf H Os Pd
2 1 1 1
direct
0.000 0.500 0.000 Hf
0.500 0.000 0.000 Hf
0.000 0.000 0.000 H
0.500 0.500 0.500 Os
0.000 0.000 0.500 Pd
```

total magnetic moment: 0.0 μB/cell
energy above the most stable polymorph in this dataset: 8 meV/atom
mass density: 14.81 g/cm³
final energy: -8.388 eV/atom



# 2
## Hf2HOsRh (GGA-PBE)

Data for a relaxed structure of Hf2HOsRh.

```
Hf2HOsRh
1.0
4.469 0.000 0.000
0.000 4.469 0.000
0.000 0.000 3.616
Hf H Os Rh
2 1 1 1
direct
0.000 0.500 0.000 Hf
0.500 0.000 0.000 Hf
0.000 0.000 0.000 H
0.000 0.000 0.500 Os
0.500 0.500 0.500 Rh
```

total magnetic moment: 0.0 μB/cell
energy above the most stable polymorph in this dataset: 15 meV/atom
mass density: 14.97 g/cm³
final energy: -8.916 eV/atom



# 3
## HfHOs2Rh (GGA-PBE)

Data for a relaxed structure of HfHOs2Rh.

```
HfHOs2Rh
1.0
3.977 0.000 0.000
0.000 3.977 0.000
0.000 0.000 4.070
Hf H Os Rh
1 1 2 1
direct
0.000 0.000 0.000 Hf
0.500 0.500 0.500 H
0.000 0.500 0.500 Os
0.500 0.000 0.500 Os
0.500 0.500 0.000 Rh
```

total magnetic moment: 0.0 μB/cell
mass density: 17.10 g/cm³
final energy: -8.864 eV/atom



# 4
## Hf2HOsRh (GGA-PBE)

Data for a relaxed structure of Hf2HOsRh.

```
Hf2HOsRh
1.0
4.516 0.000 0.000
0.000 4.516 0.000
0.000 0.000 3.534
Hf H Os Rh
2 1 1 1
direct
0.000 0.500 0.000 Hf
0.500 0.000 0.000 Hf
0.000 0.000 0.000 H
0.500 0.500 0.500 Os
0.000 0.000 0.500 Rh
```

total magnetic moment: 0.0 μB/cell
energy above the most stable polymorph in this dataset: 0 meV/atom
mass density: 15.00 g/cm³
final energy: -8.931 eV/atom



# 5
## Hf2HOsRu (GGA-PBE)

Data for a relaxed structure of Hf2HOsRu.

```
Hf2HOsRu
1.0
4.557 0.000 0.000
0.000 4.557 0.000
0.000 0.000 3.444
Hf H Os Ru
2 1 1 1
direct
0.000 0.500 0.000 Hf
0.500 0.000 0.000 Hf
0.000 0.000 0.000 H
0.500 0.500 0.500 Os
0.000 0.000 0.500 Ru
```

total magnetic moment: 0.0 μB/cell
mass density: 15.07 g/cm³
final energy: -9.284 eV/atom



# 6
## HfHOs2Ru (GGA-PBE)

Data for a relaxed structure of HfHOs2Ru.

```
HfHOs2Ru
1.0
3.988 0.000 0.000
0.000 3.988 0.000
0.000 0.000 4.047
Hf H Os Ru
1 1 2 1
direct
0.000 0.000 0.000 Hf
0.500 0.500 0.500 H
0.000 0.500 0.500 Os
0.500 0.000 0.500 Os
0.500 0.500 0.000 Ru
```

total magnetic moment: 0.0 μB/cell
mass density: 17.05 g/cm³
final energy: -9.123 eV/atom



# 7
## HfSbHOs2 (GGA-PBE)

Data for a relaxed structure of HfSbHOs2.

```
HfSbHOs2
1.0
4.128 0.000 0.000
0.000 4.128 0.000
0.000 0.000 4.234
Hf Sb H Os
1 1 1 2
direct
0.000 0.000 0.000 Hf
0.500 0.500 0.000 Sb
0.500 0.500 0.500 H
0.000 0.500 0.500 Os
0.500 0.000 0.500 Os
```

total magnetic moment: 0.0 μB/cell
mass density: 15.69 g/cm³
final energy: -7.697 eV/atom



# 8
## Hf2SiHOs (GGA-PBE)

Data for a relaxed structure of Hf2SiHOs.

```
Hf2SiHOs
1.0
4.936 0.000 0.000
0.000 4.936 0.000
0.000 0.000 4.277
Hf Si H Os
2 1 1 1
direct
0.000 0.500 0.000 Hf
0.500 0.000 0.000 Hf
0.000 0.000 0.000 Si
0.500 0.500 0.500 H
0.000 0.000 0.500 Os
```

total magnetic moment: 0.0 μB/cell
mass density: 9.19 g/cm³
final energy: -6.904 eV/atom



# 9
## Hf2TiHOs (GGA-PBE)

Data for a relaxed structure of Hf2TiHOs.

```
Hf2TiHOs
1.0
4.609 0.000 0.000
0.000 4.609 0.000
0.000 0.000 3.501
Hf Ti H Os
2 1 1 1
direct
0.000 0.500 0.000 Hf
0.500 0.000 0.000 Hf
0.000 0.000 0.500 Ti
0.000 0.000 0.000 H
0.500 0.500 0.500 Os
```

total magnetic moment: 0.7 μB/cell
mass density: 13.31 g/cm³
final energy: -8.782 eV/atom



# 10
## HfTi2HOs (GGA-PBE)

Data for a relaxed structure of HfTi2HOs.

```
HfTi2HOs
1.0
3.874 0.000 0.000
0.000 3.874 0.000
0.000 0.000 4.681
Hf Ti H Os
1 2 1 1
direct
0.000 0.000 0.000 Hf
0.000 0.500 0.500 Ti
0.500 0.000 0.500 Ti
0.000 0.000 0.500 H
0.500 0.500 0.000 Os
```

total magnetic moment: 0.0 μB/cell
mass density: 11.00 g/cm³
final energy: -8.330 eV/atom



# 11
## Hf2VHOs (GGA-PBE)

Data for a relaxed structure of Hf2VHOs.

```
Hf2VHOs
1.0
4.601 0.000 0.000
0.000 4.601 0.000
0.000 0.000 3.394
Hf V H Os
2 1 1 1
direct
0.000 0.500 0.000 Hf
0.500 0.000 0.000 Hf
0.000 0.000 0.500 V
0.000 0.000 0.000 H
0.500 0.500 0.500 Os
```

total magnetic moment: 1.3 μB/cell
mass density: 13.85 g/cm³
final energy: -9.038 eV/atom



# 12
## Hf2ZnHOs (GGA-PBE)

Data for a relaxed structure of Hf2ZnHOs.

```
Hf2ZnHOs
1.0
4.551 0.000 0.000
0.000 4.551 0.000
0.000 0.000 3.567
Hf Zn H Os
2 1 1 1
direct
0.000 0.500 0.000 Hf
0.500 0.000 0.000 Hf
0.000 0.000 0.500 Zn
0.500 0.500 0.000 H
0.500 0.500 0.500 Os
```

total magnetic moment: 0.0 μB/cell
mass density: 13.79 g/cm³
final energy: -7.430 eV/atom



# 13
## Hf3PH (GGA-PBE)

Data for a relaxed structure of Hf3PH.

```
Hf3PH
1.0
4.256 0.000 0.000
0.000 4.256 0.000
0.000 0.000 4.256
Hf P H
3 1 1
direct
0.000 0.000 0.500 Hf
0.000 0.500 0.000 Hf
0.500 0.000 0.000 Hf
0.500 0.500 0.500 P
0.000 0.000 0.000 H
```

total magnetic moment: 0.0 μB/cell
energy above the most stable polymorph in this dataset: 182 meV/atom
mass density: 12.22 g/cm³
final energy: -8.022 eV/atom



# 14
## HfP3H (GGA-PBE)

Data for a relaxed structure of HfP3H.

```
HfP3H
1.0
4.036 0.000 0.000
0.000 4.036 0.000
0.000 0.000 4.036
Hf P H
1 3 1
direct
0.000 0.000 0.000 Hf
0.000 0.500 0.500 P
0.500 0.000 0.500 P
0.500 0.500 0.000 P
0.500 0.500 0.500 H
```

total magnetic moment: 0.0 μB/cell
energy above the most stable polymorph in this dataset: 0 meV/atom
mass density: 6.88 g/cm³
final energy: -5.661 eV/atom



# 15
## Hf3PH (GGA-PBE)

Data for a relaxed structure of Hf3PH.

```
Hf3PH
1.0
3.380 0.000 0.000
0.011 7.340 0.000
1.681 1.814 7.156
Hf P H
6 2 2
direct
0.016 0.229 0.468 Hf
0.173 0.636 0.150 Hf
0.348 0.989 0.808 Hf
0.652 0.011 0.192 Hf
0.827 0.364 0.850 Hf
0.984 0.771 0.532 Hf
0.353 0.638 0.796 P
0.647 0.362 0.204 P
0.122 0.861 0.253 H
0.878 0.139 0.747 H
```

total magnetic moment: 0.0 μB/cell
energy above the most stable polymorph in this dataset: 0 meV/atom
mass density: 10.61 g/cm³
final energy: -8.204 eV/atom



# 16
## Hf4PH2 (GGA-PBE)

Data for a relaxed structure of Hf4PH2.

```
Hf4PH2
1.0
-3.405 3.649 4.441
3.405 -3.649 4.441
3.405 3.649 -4.441
Hf P H
8 2 4
direct
0.005 0.465 0.525 Hf
0.059 0.035 0.040 Hf
0.441 0.480 0.975 Hf
0.495 0.020 0.460 Hf
0.531 0.541 0.489 Hf
0.552 0.042 0.011 Hf
0.948 0.959 0.491 Hf
0.969 0.458 0.009 Hf
0.250 0.764 0.514 P
0.750 0.736 0.986 P
0.088 0.338 0.750 H
0.412 0.162 0.250 H
0.615 0.250 0.865 H
0.885 0.750 0.635 H
```

total magnetic moment: 0.0 μB/cell
mass density: 11.24 g/cm³
final energy: -7.906 eV/atom



# 17
## HfPH (GGA-PBE)

Data for a relaxed structure of HfPH.

```
HfPH
1.0
9.504 0.000 0.000
0.000 3.533 0.000
-4.276 0.000 4.729
Hf P H
4 4 4
direct
0.214 0.000 0.264 Hf
0.286 0.500 0.736 Hf
0.714 0.500 0.264 Hf
0.786 0.000 0.736 Hf
0.050 0.500 0.828 P
0.450 0.000 0.172 P
0.550 0.000 0.828 P
0.950 0.500 0.172 P
0.169 0.000 0.545 H
0.331 0.500 0.455 H
0.669 0.500 0.545 H
0.831 0.000 0.455 H
```

total magnetic moment: 0.0 μB/cell
energy above the most stable polymorph in this dataset: 275 meV/atom
mass density: 8.80 g/cm³
final energy: -6.969 eV/atom



# 18
## HfPH (GGA-PBE)

Data for a relaxed structure of HfPH.

```
HfPH
1.0
3.722 0.000 0.000
1.853 4.539 0.000
0.005 0.990 5.066
Hf P H
2 2 2
direct
0.188 0.125 0.258 Hf
0.812 0.875 0.742 Hf
0.107 0.287 0.751 P
0.893 0.713 0.249 P
0.357 0.785 0.601 H
0.643 0.215 0.399 H
```

total magnetic moment: 0.0 μB/cell
energy above the most stable polymorph in this dataset: 386 meV/atom
mass density: 8.17 g/cm³
final energy: -6.857 eV/atom



# 19
## HfPH2 (GGA-PBE)

Data for a relaxed structure of HfPH2.

```
HfPH2
1.0
5.403 0.000 0.000
0.000 5.403 0.000
0.000 0.000 5.403
Hf P H
4 4 8
direct
0.000 0.000 0.000 Hf
0.000 0.500 0.500 Hf
0.500 0.000 0.500 Hf
0.500 0.500 0.000 Hf
0.000 0.000 0.500 P
0.000 0.500 0.000 P
0.500 0.000 0.000 P
0.500 0.500 0.500 P
0.250 0.250 0.250 H
0.250 0.250 0.750 H
0.250 0.750 0.250 H
0.250 0.750 0.750 H
0.750 0.250 0.250 H
0.750 0.250 0.750 H
0.750 0.750 0.250 H
0.750 0.750 0.750 H
```

total magnetic moment: 0.0 μB/cell
energy above the most stable polymorph in this dataset: 218 meV/atom
mass density: 8.91 g/cm³
final energy: -5.436 eV/atom



# 20
## Hf2PH (GGA-PBE)

Data for a relaxed structure of Hf2PH.

```
Hf2PH
1.0
6.206 0.000 0.000
0.000 6.206 0.000
0.000 0.000 6.086
Hf P H
8 4 4
direct
0.180 0.250 0.125 Hf
0.250 0.680 0.375 Hf
0.250 0.820 0.875 Hf
0.320 0.250 0.625 Hf
0.680 0.750 0.625 Hf
0.750 0.180 0.875 Hf
0.750 0.320 0.375 Hf
0.820 0.750 0.125 Hf
0.000 0.000 0.500 P
0.000 0.500 0.750 P
0.500 0.000 0.250 P
0.500 0.500 0.000 P
0.000 0.000 0.000 H
0.000 0.500 0.250 H
0.500 0.000 0.750 H
0.500 0.500 0.500 H
```

total magnetic moment: 0.0 μB/cell
energy above the most stable polymorph in this dataset: 109 meV/atom
mass density: 11.02 g/cm³
final energy: -7.802 eV/atom



Number 1: V 14.68 A^3/atom. Number 2: V 14.44 A^3/atom. Number 3: V 12.88 A^3/atom. Number 4: V 14.41 A^3/atom. Number 5: V 14.30 A^3/atom. Number 6: V 12.87 A^3/atom. Number 7: V 14.43 A^3/atom. Number 8: V 20.84 A^3/atom. Number 9: V 14.88 A^3/atom. Number 10: V 14.05 A^3/atom. Number 11: V 14.37 A^3/atom. Number 12: V 14.77 A^3/atom. Number 13: V 15.42 A^3/atom. Number 14: V 13.15 A^3/atom. Number 15: V 17.76 A^3/atom. Number 16: V 15.77 A^3/atom. Number 17: V 13.23 A^3/atom. Number 18: V 14.26 A^3/atom. Number 19: V 9.86 A^3/atom. Number 20: V 14.65 A^3/atom.